No. 1
This record from Alexandria describes a geometry-optimized Be2Tl3Br8 structure. The functional is PBE.

abc: 7.3579 7.3579 26.3069
angles: 90.00 90.00 120.00
Closest atoms and distances in Å follow each position.
Space group R-3m (No. 166, hexagonal axes)
Symmetry-distinct sites (fractional):
Be 0.0000 0.0000 0.0958 x6  4 Br 2.16-2.19
Tl 0.0000 0.0000 0.2963 x6  1 Br 3.11
Tl 0.0000 0.0000 0.5000 x3  6 Br 3.35
Br 0.0000 0.0000 0.1780 x6  1 Be 2.16
Br 0.0069 0.5034 0.7363 x18  1 Be 2.19

Summary:
- Formation energy (no corrections): -806.9 meV/atom

No. 2
This record from Alexandria describes a geometry-optimized BeTl2Br structure. The functional is PBE.

abc: 3.6863 3.7694 7.5818
angles: 90.00 91.08 90.00
Closest atoms and distances in Å follow each position.
Space group P2/m (No. 10)
Symmetry-distinct sites (fractional):
Be 0.0000 0.0000 0.0000 x1  8 Tl 3.07-3.14
Tl 0.4925 0.5000 0.2159 x2  4 Be 3.07-3.14, 1 Tl 3.28, 4 Br 3.40-3.41
Br 0.0000 0.0000 0.5000 x1  8 Tl 3.40-3.41, 4 Br 3.69-3.77, 2 Be 3.79

Summary:
- Formation energy (no corrections): 268.0 meV/atom
- Offset from the most stable computed form: 0.92 eV per formula unit

No. 3
This record from Alexandria describes a geometry-optimized BeTlBr structure. The functional is PBE.

abc: 6.9892 6.9892 6.9892
angles: 90.00 90.00 90.00
Closest atoms and distances in Å follow each position.
Space group F-43m (No. 216)
Symmetry-distinct sites (fractional):
Be 0.0000 0.0000 0.0000 x4  4 Tl 3.03, 4 Br 3.03
Tl 0.2500 0.2500 0.7500 x4  4 Be 3.03
Br 0.2500 0.2500 0.2500 x4  4 Be 3.03

Summary:
- Formation energy (no corrections): 467.2 meV/atom
- Offset from the most stable computed form: 1.25 eV per formula unit

No. 4
This record from Alexandria describes a geometry-optimized BeTlBr3 structure. The functional is PBE.

abc: 5.6786 5.6786 5.6786
angles: 90.00 90.00 90.00
Closest atoms and distances in Å follow each position.
Space group Pm-3m (No. 221)
Symmetry-distinct sites (fractional):
Be 0.0000 0.0000 0.0000 x1  12 Br 4.02
Tl 0.5000 0.5000 0.5000 x1  6 Br 2.84
Br 0.0000 0.5000 0.5000 x3  2 Tl 2.84

Summary:
- Formation energy (no corrections): 333.4 meV/atom
- Offset from the most stable computed form: 6.61 eV per formula unit

No. 5
This record from Alexandria describes a geometry-optimized BeTlV2Br structure. The functional is PBE.

abc: 4.7566 4.7566 4.5242
angles: 90.00 90.00 90.00
Closest atoms and distances in Å follow each position.
Space group P4/mmm (No. 123)
Symmetry-distinct sites (fractional):
Be 0.0000 0.0000 0.0000 x1  2 Tl 2.26, 4 V 2.38
Tl 0.0000 0.0000 0.5000 x1  2 Be 2.26
V 0.0000 0.5000 0.0000 x2  2 Be 2.38
Br 0.5000 0.5000 0.5000 x1  8 V 3.28, 4 Tl 3.36

Summary:
- Formation energy (no corrections): 845.6 meV/atom

No. 6
This record from Alexandria describes a geometry-optimized TmBeBr structure. The functional is PBE.

abc: 6.6445 3.8467 11.4893
angles: 90.00 94.77 90.00
Closest atoms and distances in Å follow each position.
Space group C2/m (No. 12)
Symmetry-distinct sites (fractional):
Tm 0.0229 0.0000 0.1602 x4  6 Be 2.85-2.91, 3 Br 2.91
Be 0.1662 0.5000 0.9964 x4  3 Be 2.22
Br 0.2127 0.5000 0.3242 x4  3 Tm 2.91

Summary:
- Formation energy (no corrections): -872.8 meV/atom